(1)
VASP calculation (GGA-PBE) on an optimized crystal structure of Ca2UZnO6.

As for the energy relative to the elements, uncorrected: -2557 meV/atom. The calculated density is 5.48 g cm⁻³. The calculation puts the total energy at -71.9 eV/cell.

a = 5.648 Å, b = 5.648 Å, c = 4.556 Å
α = 90.00°, β = 90.00°, γ = 90.00°
Sites, in units of the cell vectors:
Ca (0.000, 0.500, 0.000)
Ca (0.500, 0.000, 0.000)
U (0.000, 0.000, 0.610)
Zn (0.500, 0.500, 0.553)
O (0.000, 0.000, 0.122)
O (0.248, 0.248, 0.671)
O (0.248, 0.752, 0.671)
O (0.500, 0.500, 0.130)
O (0.752, 0.248, 0.671)
O (0.752, 0.752, 0.671)



(2)
VASP calculation (GGA-PBE) on an optimized crystal structure of CaZrUO6.

As for the energy relative to the elements, uncorrected: -3194 meV/atom. The calculated density is 5.69 g cm⁻³. The calculation puts the total energy at -160.7 eV/cell.

a = 5.675 Å, b = 5.675 Å, c = 9.736 Å
α = 90.00°, β = 90.00°, γ = 120.00°
Sites, in units of the cell vectors:
Ca (0.000, 0.000, 0.000)
Ca (0.000, 0.000, 0.500)
Zr (0.333, 0.667, 0.250)
Zr (0.667, 0.333, 0.750)
U (0.333, 0.667, 0.750)
U (0.667, 0.333, 0.250)
O (0.004, 0.363, 0.640)
O (0.004, 0.641, 0.860)
O (0.359, 0.363, 0.860)
O (0.359, 0.996, 0.640)
O (0.363, 0.004, 0.140)
O (0.363, 0.359, 0.360)
O (0.637, 0.641, 0.640)
O (0.637, 0.996, 0.860)
O (0.641, 0.004, 0.360)
O (0.641, 0.637, 0.140)
O (0.996, 0.359, 0.140)
O (0.996, 0.637, 0.360)



- Which formula does entry 1 have?
  Ca2UZnO6



- What is the energy relative to the elements, uncorrected in the first record?
  -2557 meV/atom